Density functional theory data (PBEsol) for a geometry-optimized Cr2SiAu structure.

Results
VASP energy = -7.430 eV/atom
calculated volume = 13.4 Å³/atom
space group = Cm, No. 8

abc: 2.9293 4.4738 4.4836
angles: 104.58 90.00 109.11
Site moments in Bohr magnetons follow the coordinates.
Positions (direct):
Cr 0.0178 0.0356 0.0618  1.51
Si 0.4921 0.9843 0.5009  -0.03
Cr 0.7424 0.4848 0.2137  -1.76
Au 0.2477 0.4953 0.7235  -0.03

Density functional theory data (PBEsol) for a geometry-optimized OsC2 structure.

Results
VASP energy = -8.639 eV/atom
energy of formation from the pure elements = 5.59 eV/f.u.
calculated volume = 11.4 Å³/atom
space group = P4/mmm, No. 123
distance to the lowest polymorph of the same formula = 1028.5 meV/atom

abc: 2.9460 2.9460 3.9454
angles: 90.00 90.00 90.00
Positions (direct):
C 0.0000 0.0000 0.5000
C 0.5000 0.5000 0.0000
Os 0.0000 0.0000 0.0000

Density functional theory data (PBEsol) for a geometry-optimized RePPb2 structure.

Results
VASP energy = -5.735 eV/atom
energy of formation from the pure elements = 4.18 eV/f.u.
calculated volume = 19.8 Å³/atom
space group = Immm, No. 71

abc: 3.6600 4.9975 5.3207
angles: 118.01 110.12 90.00
Positions (direct):
P 0.0000 0.5000 0.0000
Pb 0.7377 0.7377 0.4754
Re 0.5000 0.0000 0.0000
Pb 0.2623 0.2623 0.5246

Density functional theory data (PBEsol) for a geometry-optimized Co2IrCl structure.

Results
VASP energy = -6.044 eV/atom
calculated volume = 12.8 Å³/atom
space group = Pmmm, No. 47
distance to the lowest polymorph of the same formula = 324.9 meV/atom

abc: 2.7397 4.3197 4.3241
angles: 90.00 90.00 90.00
Site moments in Bohr magnetons follow the coordinates.
Positions (direct):
Cl 0.0000 0.5000 0.5000  0.09
Ir 0.5000 0.5000 0.0000  0.40
Co 0.0000 0.0000 0.0000  1.61
Co 0.5000 0.0000 0.5000  1.86

Density functional theory data (PBEsol) for a geometry-optimized AlIrCl3 structure.

Results
VASP energy = -3.970 eV/atom
calculated volume = 21.6 Å³/atom
space group = Pm-3m, No. 221

abc: 4.7643 4.7643 4.7643
angles: 90.00 90.00 90.00
Positions (direct):
Al 0.5000 0.5000 0.5000
Ir 0.0000 0.0000 0.0000
Cl 0.0000 0.0000 0.5000
Cl 0.0000 0.5000 0.0000
Cl 0.5000 0.0000 0.0000

Density functional theory data (PBEsol) for a geometry-optimized LaFe3Se structure.

Results
VASP energy = -6.929 eV/atom
calculated volume = 17.6 Å³/atom
space group = Pm-3m, No. 221
distance to the lowest polymorph of the same formula = 0.0 meV/atom

abc: 4.4449 4.4449 4.4449
angles: 90.00 90.00 90.00
Site moments in Bohr magnetons follow the coordinates.
Positions (direct):
Fe 0.0000 0.0000 0.5000  2.00
La 0.5000 0.5000 0.5000  -0.30
Fe 0.5000 0.0000 0.0000  2.00
Se 0.0000 0.0000 0.0000  -0.03
Fe 0.0000 0.5000 0.0000  2.00

Density functional theory data (PBEsol) for a geometry-optimized Ga2As2Pb structure.

Results
VASP energy = -4.159 eV/atom
energy of formation from the pure elements = 0.10 eV/f.u.
calculated volume = 22.1 Å³/atom
space group = I4/mmm, No. 139

abc: 4.1007 4.1007 7.1781
angles: 106.60 106.60 90.00
Positions (direct):
Ga 0.7500 0.2500 0.5000
Ga 0.2500 0.7500 0.5000
As 0.3769 0.3769 0.7538
Pb 0.0000 0.0000 0.0000
As 0.6231 0.6231 0.2462

Density functional theory data (PBEsol) for a geometry-optimized BeAl2As structure.

Results
VASP energy = -4.037 eV/atom
energy of formation from the pure elements = 1.14 eV/f.u.
calculated volume = 15.5 Å³/atom
space group = C2/m, No. 12
distance to the lowest polymorph of the same formula = 114.0 meV/atom

abc: 2.9562 4.3310 5.5077
angles: 112.87 105.17 90.97
Positions (direct):
As 0.0000 0.0000 0.0000
Al 0.5000 0.5000 0.5000
Be 0.5000 0.5000 0.0000
Al 0.0000 0.0000 0.5000